A plane-wave DFT calculation with PBE was carried out for crystalline CaRe2N6 at its relaxed geometry.

Geometry as CIF:
```
data_CaRe2N6
_chemical_formula_sum 'Ca1 Re2 N6'
_cell_length_a 5.1597
_cell_length_b 5.1597
_cell_length_c 5.4428
_cell_angle_alpha 90.00
_cell_angle_beta 90.00
_cell_angle_gamma 120.00
_space_group_name_H-M_alt 'P -3 1 m'
_space_group_IT_number 162
_space_group_name_Hall '-P 3 2'
loop_
_atom_site_label
_atom_site_type_symbol
_atom_site_fract_x
_atom_site_fract_y
_atom_site_fract_z
_atom_site_occupancy
Ca1 Ca 0.0000 0.0000 0.0000 1
Re1 Re 0.3333 0.6667 0.5000 1
N1 N 0.0000 0.3537 0.6967 1
```

- uncorrected formation energy (eV per atom) = 0.430
- total energy (eV for the cell shown) = -72.981
- N(E_F) (states/eV per atom) = 0.56